10
Lattice="3.952 -3.973 0.000 3.952 3.973 0.000 -3.932 0.000 4.148" Properties=species:S:1:pos:R:3 comment="PrNbN2O | OQMD | PBE | relaxed" energy_ev_per_atom=-8.965 sg=C2/m crystal_system=monoclinic magmom_total_mub_per_cell=0.00 pbc="T T T"
Pr 1.948 0.000 0.013
Pr 2.025 0.000 4.135
Nb 0.010 1.987 2.074
Nb 0.010 -1.987 2.074
N 3.952 2.077 0.000
N 0.570 0.000 2.145
N 3.403 0.000 2.003
N 3.952 -2.077 0.000
O 1.986 2.570 2.074
O 1.986 -2.570 2.074

3
Lattice="0.000 3.218 3.218 3.218 0.000 3.218 3.218 3.218 0.000" Properties=species:S:1:pos:R:3 comment="KGaOs | OQMD | PBE | relaxed" sg=F-43m crystal_system=cubic de_polymorph_mev_per_atom=0 magmom_total_mub_per_cell=0.02 pbc="T T T"
K 0.000 0.000 0.000
Ga 3.218 3.218 3.218
Os 4.827 4.827 4.827

10
Lattice="0.000 5.476 5.476 5.476 0.000 5.476 5.476 5.476 0.000" Properties=species:S:1:pos:R:3 comment="K2CdGaBr6 | OQMD | PBE | relaxed" energy_ev_per_atom=-2.720 sg=Fm-3m crystal_system=cubic pbc="T T T"
K 2.738 2.738 2.738
K 8.213 8.213 8.213
Cd 0.000 0.000 0.000
Ga 5.476 5.476 5.476
Br 5.476 5.476 2.792
Br 5.476 2.792 5.476
Br 8.160 5.476 5.476
Br 2.792 5.476 5.476
Br 5.476 8.160 5.476
Br 5.476 5.476 8.160

4
Lattice="0.000 3.155 3.155 3.155 0.000 3.155 3.155 3.155 0.000" Properties=species:S:1:pos:R:3 comment="GePdPt2 | OQMD | PBE | relaxed" energy_ev_per_atom=-5.646 sg=F-43m crystal_system=cubic magmom_total_mub_per_cell=0.00 pbc="T T T"
Ge 0.000 0.000 0.000
Pd 1.577 1.577 1.577
Pt 3.155 3.155 3.155
Pt 4.732 4.732 4.732

9
Lattice="4.077 0.000 0.000 0.000 6.774 3.913 0.000 -6.774 3.913" Properties=species:S:1:pos:R:3 comment="Pr2NdCd3Pd2Au | OQMD | PBE | relaxed" energy_ev_per_atom=-4.066 sg=Amm2 crystal_system=orthorhombic magmom_total_mub_per_cell=0.00 pbc="T T T"
Pr 0.000 -4.008 3.913
Pr 0.000 4.008 3.913
Nd 0.000 0.000 4.791
Cd 2.039 -1.750 2.613
Cd 2.039 1.750 2.613
Cd 2.039 0.000 7.394
Pd 2.039 -2.249 5.507
Pd 2.039 2.249 5.507
Au 0.000 0.000 1.604

4
Lattice="4.118 0.000 0.000 0.000 2.211 5.544 0.000 -2.211 5.544" Properties=species:S:1:pos:R:3 comment="Ho2InGe | OQMD | PBE | relaxed" energy_ev_per_atom=-4.762 sg=Amm2 crystal_system=orthorhombic magmom_total_mub_per_cell=0.00 pbc="T T T"
Ho 0.000 0.000 0.000
Ho 2.059 0.000 3.109
In 2.059 0.000 6.226
Ge 0.000 0.000 8.118

4
Lattice="0.000 3.171 3.171 3.171 0.000 3.171 3.171 3.171 0.000" Properties=species:S:1:pos:R:3 comment="LuAl2Co | OQMD | PBE | relaxed" energy_ev_per_atom=-5.038 sg=F-43m crystal_system=cubic magmom_total_mub_per_cell=0.04 pbc="T T T"
Lu 0.000 0.000 0.000
Al 3.171 3.171 3.171
Al 4.757 4.757 4.757
Co 1.586 1.586 1.586

3
Lattice="0.000 3.199 3.199 3.199 0.000 3.199 3.199 3.199 0.000" Properties=species:S:1:pos:R:3 comment="PrReSi | OQMD | PBE | relaxed" energy_ev_per_atom=-7.149 sg=F-43m crystal_system=cubic magmom_total_mub_per_cell=0.00 pbc="T T T"
Pr 0.000 0.000 0.000
Re 3.199 3.199 3.199
Si 1.600 1.600 1.600

42
Lattice="7.702 4.447 2.576 -7.702 4.447 2.576 0.000 -8.893 2.576" Properties=species:S:1:pos:R:3 comment="GdSiHO4 | OQMD | PBE | relaxed" sg=R-3 crystal_system=trigonal de_polymorph_mev_per_atom=85 magmom_total_mub_per_cell=0.00 pbc="T T T"
Gd -3.612 -0.243 2.649
Gd 2.016 -3.006 2.649
Gd -1.596 -3.249 5.080
Gd 1.596 3.249 2.649
Gd -2.016 3.006 5.080
Gd 3.612 0.243 5.080
Si -0.693 -5.391 3.059
Si -5.015 -2.095 4.669
Si -4.322 3.295 3.059
Si 4.322 -3.295 4.669
Si 5.015 2.095 3.059
Si 0.693 5.390 4.669
H -0.780 -1.923 1.475
H -1.275 1.637 1.475
H 2.055 0.286 1.475
H -2.055 -0.286 6.253
H 1.275 -1.637 6.253
H 0.780 1.923 6.253
O -4.944 -5.487 4.160
O -1.723 -1.612 1.676
O -7.224 1.538 3.568
O -2.112 -4.643 3.300
O -3.518 -2.443 4.027
O -5.077 -0.492 4.428
O -0.534 2.298 1.676
O -3.875 1.826 3.701
O 2.258 -0.686 1.676
O 0.356 -4.268 3.701
O 2.280 -7.026 3.568
O -2.965 4.151 3.300
O 2.965 -4.151 4.428
O -2.280 7.026 4.160
O -0.356 4.268 4.027
O -2.258 0.686 6.052
O 3.875 -1.826 4.027
O 0.534 -2.298 6.052
O 5.077 0.492 3.300
O 3.518 2.443 3.701
O 2.112 4.643 4.428
O 7.224 -1.538 4.160
O 1.723 1.612 6.052
O 4.944 5.487 3.568

4
Lattice="0.000 3.616 3.616 3.616 0.000 3.616 3.616 3.616 0.000" Properties=species:S:1:pos:R:3 comment="Sc2ZnBi | OQMD | PBE | relaxed" energy_ev_per_atom=-4.415 sg=F-43m crystal_system=cubic magmom_total_mub_per_cell=1.38 pbc="T T T"
Sc 0.000 0.000 0.000
Sc 1.808 1.808 1.808
Zn 5.424 5.424 5.424
Bi 3.616 3.616 3.616

12
Lattice="2.037 -6.764 0.000 2.037 6.764 0.000 0.000 0.000 10.216" Properties=species:S:1:pos:R:3 comment="BaLiErS3 | OQMD | PBE | relaxed" sg=Cmcm crystal_system=orthorhombic de_polymorph_mev_per_atom=0 magmom_total_mub_per_cell=0.02 pbc="T T T"
Ba 2.037 3.454 7.662
Ba 2.037 -3.454 2.554
Li 2.037 6.371 2.554
Li 2.037 -6.371 7.662
Er 2.037 0.000 0.000
Er 2.037 0.000 5.108
S 2.037 5.016 0.606
S 2.037 5.016 4.502
S 2.037 0.885 2.554
S 2.037 -0.885 7.662
S 2.037 -5.016 5.714
S 2.037 -5.016 9.610

11
Lattice="7.682 0.000 0.000 3.776 6.715 0.000 3.736 1.578 7.132" Properties=species:S:1:pos:R:3 comment="ZrSe4Br4Cl2 | OQMD | PBE | relaxed" energy_ev_per_atom=-3.743 sg=P-1 crystal_system=triclinic magmom_total_mub_per_cell=0.00 pbc="T T T"
Zr 0.000 0.000 0.000
Se 6.143 4.941 3.526
Se 7.067 3.234 4.852
Se 8.128 5.060 2.281
Se 9.052 3.352 3.606
Br 3.384 4.399 1.298
Br 2.148 0.582 1.521
Br 13.047 7.711 5.611
Br 11.811 3.894 5.835
Cl 8.954 7.100 5.574
Cl 6.241 1.193 1.558